A plane-wave DFT calculation with PBE-GGA was carried out for an optimized crystal structure of K2CoBr5.

Lattice parameters (Å, degrees): 9.770 11.215 14.067 75.86 69.68 64.18
Site moments in Bohr magnetons follow the coordinates.
Fractional positions:
Br (0.851, 0.421, 0.955)  0.22
Br (0.409, 0.246, 0.159)  0.24
K (0.532, 0.950, 0.318)  0.00
Br (0.572, 0.428, 0.819)  0.21
K (0.313, 0.896, 0.059)  0.00
Br (0.186, 0.746, 0.659)  0.24
K (0.732, 0.396, 0.559)  0.00
K (0.468, 0.050, 0.682)  0.00
Br (0.773, 0.921, 0.455)  0.22
K (0.200, 0.450, 0.818)  0.00
K (0.687, 0.104, 0.941)  0.00
K (0.800, 0.550, 0.182)  0.00
Co (0.086, 0.970, 0.678)  2.58
Br (0.409, 0.354, 0.596)  0.08
Br (0.642, 0.854, 0.096)  0.08
Br (0.591, 0.646, 0.404)  0.08
Br (0.591, 0.754, 0.841)  0.24
Br (0.067, 0.497, 0.332)  0.23
Co (0.914, 0.030, 0.322)  2.58
Br (0.149, 0.579, 0.045)  0.22
Br (0.358, 0.146, 0.904)  0.08
Br (0.819, 0.072, 0.681)  0.21
Br (0.181, 0.928, 0.319)  0.21
Br (0.428, 0.572, 0.181)  0.21
K (0.268, 0.604, 0.441)  0.00
Co (0.265, 0.470, 0.178)  2.58
Br (0.814, 0.254, 0.341)  0.24
Br (0.104, 0.997, 0.832)  0.23
Co (0.735, 0.530, 0.822)  2.58
Br (0.896, 0.003, 0.168)  0.23
Br (0.227, 0.079, 0.545)  0.22
Br (0.933, 0.503, 0.668)  0.23

For the total energy, the calculation gives -102.403 eV/cell. For the size of the total moment, the calculation gives 4.07 μB/f.u. The density of states at the Fermi level is 6.65 states/eV/f.u.